No. 1
YTa2N: relaxed, PBE-GGA.

Geometry as extended XYZ:
```
8
Lattice="-2.307 -5.918 0.444 5.906 -2.336 -0.454 2.208 -3.954 4.420" Properties=species:S:1:pos:R:3 pbc="T T T"
N 1.800 -4.127 -0.005
Y 0.851 -7.000 2.429
Ta 0.466 -3.396 1.207
Ta 3.225 -9.563 3.428
Y 0.000 0.000 0.000
Ta 3.338 -4.772 0.995
N 4.957 -5.209 1.980
Ta 4.586 -6.686 3.190
```

Summary:
Uncorrected energy in eV per atom: -9.676
E_form (uncorrected) in eV/atom: -0.052


No. 2
Ta5In4: relaxed, PBE-GGA.

Geometry as extended XYZ:
```
18
Lattice="-3.522 -5.955 -4.821 7.190 3.680 -2.423 2.977 -3.997 2.763" Properties=species:S:1:pos:R:3 pbc="T T T"
Ta 3.619 0.468 -3.222
Ta 1.203 -4.738 0.663
In 0.000 0.000 0.000
In 0.040 -6.704 -0.929
Ta 0.049 -2.744 -4.021
Ta 1.537 -4.742 -2.640
In 6.708 -0.707 0.564
Ta 5.108 -1.530 -1.841
Ta 1.816 -1.664 -1.426
Ta 4.829 -4.608 -3.055
Ta 5.833 1.605 -1.024
Ta 4.334 -1.922 1.364
In 1.488 -1.998 1.381
In 3.617 -3.856 -0.663
In -0.585 -3.248 -1.129
In 3.027 -2.415 -3.818
In 3.459 0.390 -0.224
Ta -1.748 -5.214 -2.721
```

Summary:
Uncorrected energy in eV per atom: -7.506
Energy of formation from the pure elements in eV per formula unit: 2.67


No. 3
HoIrPt: relaxed, PBE-GGA.

Geometry as extended XYZ:
```
6
Lattice="4.679 -0.072 -2.676 -3.079 4.425 -0.052 -0.053 0.072 5.390" Properties=species:S:1:pos:R:3 pbc="T T T"
Pt -1.539 2.213 -0.026
Ir -1.566 2.249 2.669
Pt 0.774 2.213 1.331
Ir 2.313 0.000 1.357
Ho 0.743 0.591 4.032
Ho 0.804 3.834 -1.370
```

Summary:
Uncorrected energy in eV per atom: -7.428
Energy of formation from the pure elements in eV per formula unit: -2.80


No. 4
AlP2Au: relaxed, PBE-GGA.

Geometry as extended XYZ:
```
4
Lattice="3.656 -0.005 -0.015 -1.839 5.298 0.025 -0.022 1.250 3.434" Properties=species:S:1:pos:R:3 pbc="T T T"
P 1.817 0.622 1.710
Al -0.931 3.274 1.730
Au 0.908 2.646 0.005
P 0.000 0.000 0.000
```

Summary:
Uncorrected energy in eV per atom: -4.313
Energy of formation from the pure elements in eV per formula unit: 0.59


No. 5
Er2ThAl9: relaxed, PBE-GGA.

Geometry as extended XYZ:
```
12
Lattice="5.342 0.000 1.590 2.435 4.755 1.590 0.133 0.081 9.325" Properties=species:S:1:pos:R:3 pbc="T T T"
Al 5.172 3.162 2.164
Al 5.970 1.983 4.468
Al 3.424 0.426 8.036
Al 4.667 2.853 8.848
Al 3.243 1.983 3.657
Er 6.735 4.118 6.683
Al 2.738 1.674 10.340
Th 0.000 0.000 0.000
Er 1.175 0.719 5.822
Al 1.940 2.853 8.036
Al 4.486 4.410 4.468
Al 3.955 2.418 6.252
```

Summary:
Uncorrected energy in eV per atom: -4.562
Energy of formation from the pure elements in eV per formula unit: -4.52


No. 6
ZnGaH3: relaxed, PBE-GGA.

Geometry as extended XYZ:
```
5
Lattice="-3.108 0.334 2.048 -0.767 -3.612 -0.575 1.928 -0.898 3.072" Properties=species:S:1:pos:R:3 pbc="T T T"
H -1.554 0.167 1.024
Zn 0.000 0.000 0.000
Ga -0.973 -2.088 2.272
H 0.964 -0.449 1.536
H -0.383 -1.806 -0.287
```

Summary:
Uncorrected energy in eV per atom: -2.517


No. 7
MgCd5Ag4: relaxed, PBE-GGA.

Geometry as extended XYZ:
```
10
Lattice="-2.674 -1.713 -1.183 0.170 -2.099 2.655 -10.539 10.344 8.850" Properties=species:S:1:pos:R:3 pbc="T T T"
Cd -2.393 -0.787 1.694
Cd -10.651 7.319 8.628
Ag -2.169 2.129 1.822
Ag -8.370 8.215 7.028
Ag -4.236 4.158 3.557
Mg 0.000 0.000 0.000
Ag -6.303 6.186 5.293
Cd -6.522 3.266 5.161
Cd -4.460 1.243 3.430
Cd -8.583 5.290 6.892
```

Summary:
Uncorrected energy in eV per atom: -1.821
Energy of formation from the pure elements in eV per formula unit: -0.63


No. 8
ZnS: relaxed, PBE-GGA.

Geometry as extended XYZ:
```
36
Lattice="-1.299 -0.263 3.613 -2.577 -2.704 0.927 40.771 -36.783 14.030" Properties=species:S:1:pos:R:3 pbc="T T T"
S 18.909 -22.357 11.321
S 29.546 -29.320 12.588
Zn 3.134 -8.933 6.626
S 5.133 -6.457 3.425
Zn 15.067 -14.910 6.381
S 12.142 -12.421 5.511
Zn 16.110 -17.886 8.590
Zn 31.422 -28.828 11.248
S 17.860 -19.375 9.111
Zn 3.382 -4.966 2.904
Zn -0.247 -3.966 3.722
S 22.536 -23.355 10.502
Zn 17.155 -20.864 10.799
Zn 36.097 -32.806 12.640
Zn 27.794 -27.829 12.067
Zn 37.142 -35.784 14.849
S 26.165 -24.354 9.684
S 32.930 -34.288 15.493
S 37.847 -34.296 13.160
Zn 20.786 -21.865 9.981
S 1.504 -5.457 4.243
Zn 24.413 -22.864 9.163
S -2.124 -4.458 5.062
S 38.896 -37.276 15.370
S 16.818 -16.400 6.902
Zn 10.391 -10.931 4.990
S 33.173 -30.318 11.769
Zn 31.176 -32.795 14.971
Zn 10.145 -14.898 8.713
S 4.886 -10.423 7.148
S 25.917 -28.320 13.406
S 11.899 -16.391 9.234
Zn 24.166 -26.830 12.885
Zn -3.874 -2.968 4.541
Zn 6.763 -9.932 5.808
S 8.515 -11.423 6.330
```

Summary:
Uncorrected energy in eV per atom: -3.508
E_form (uncorrected) in eV/atom: -0.807


No. 9
Sr2Pr: relaxed, PBE-GGA.

Geometry as extended XYZ:
```
3
Lattice="6.357 -0.015 -0.809 3.171 5.528 -0.684 0.514 0.209 3.808" Properties=species:S:1:pos:R:3 pbc="T T T"
Pr 6.120 1.845 0.048
Sr 3.275 3.834 2.838
Sr 6.291 5.607 1.185
```

Summary:
Uncorrected energy in eV per atom: -2.566
Energy of formation from the pure elements in eV per formula unit: 0.44


No. 10
NbOsF3: relaxed, PBE-GGA.

Geometry as extended XYZ:
```
5
Lattice="4.290 0.000 0.000 0.000 4.290 0.000 0.000 0.000 4.290" Properties=species:S:1:pos:R:3 pbc="T T T"
Nb 0.000 0.000 0.000
Os 2.145 2.145 2.145
F 2.145 0.000 0.000
F 0.000 2.145 0.000
F 0.000 0.000 2.145
```

Summary:
Uncorrected energy in eV per atom: -5.810
E_form (uncorrected) in eV/atom: -0.427


No. 11
CaMg4Co: relaxed, PBE-GGA.

Geometry as extended XYZ:
```
6
Lattice="0.000 4.083 4.083 4.083 0.000 4.083 4.083 4.083 0.000" Properties=species:S:1:pos:R:3 pbc="T T T"
Co 0.000 0.000 0.000
Mg 3.053 3.053 3.053
Mg 5.113 5.113 3.053
Mg 3.053 5.113 5.113
Mg 5.113 3.053 5.113
Ca 6.124 6.124 6.124
```

Summary:
Uncorrected energy in eV per atom: -2.278
Energy of formation from the pure elements in eV per formula unit: 1.82


No. 12
RbB2Ir2: relaxed, PBE-GGA.

Geometry as extended XYZ:
```
5
Lattice="-2.378 -2.122 -1.014 2.149 -2.546 0.289 -2.411 -3.406 7.263" Properties=species:S:1:pos:R:3 pbc="T T T"
B -2.451 -3.931 2.943
Rb 0.000 0.000 0.000
Ir -0.898 -2.700 2.241
B -0.188 -4.143 3.595
Ir -1.741 -5.374 4.297
```

Summary:
Uncorrected energy in eV per atom: -6.139
Energy of formation from the pure elements in eV per formula unit: 1.35